Compound: Li3Cr2Fe2O8
Source: the Alexandria database
Functional: PBE+U
Structure: relaxed

Computed properties:
The total energy comes out at -6.553 eV/atom.

Unit cell a=10.2770 b=5.9770 c=5.9508 alpha=90.00 beta=125.14 gamma=90.00
Space group C2/m (No. 12)
Asymmetric unit:
Li 0.0000 0.0000 0.0000 x2
Li 0.2500 0.2500 0.5000 x4
Cr 0.0000 0.5000 0.0000 x2
Cr 0.0000 0.5000 0.5000 x2
Fe 0.2500 0.2500 0.0000 x4
O 0.0068 0.2775 0.7665 x8
O 0.2305 0.5000 0.2183 x4
O 0.2426 0.5000 0.7588 x4